Entry 1:
This record from Alexandria describes an optimized crystal structure of NiRu2Rh. The functional is PBE-GGA.

Calculated values
Calculated formation energy in eV per atom: 0.0825
Spin magnetization in μB/f.u.: 0.0
Energy above the most stable polymorph in this dataset in meV/atom: 13.2

POSCAR file:
```
NiRu2Rh
1.0
2.6871 0.0000 0.0000
0.0000 2.6871 0.0000
0.0000 0.0000 7.3899
Ni Ru Rh
1 2 1
Cartesian
0.0000 0.0000 0.0000
0.0000 0.0000 3.7371
1.3435 1.3435 5.6180
1.3435 1.3435 1.8199
```



Entry 2:
This record from Alexandria describes an optimized crystal structure of Rb2NaLiF6. The functional is PBE-GGA.

Calculated values
Spin magnetization in μB/f.u.: 2.0
Formation energy without anion corrections in meV/atom: -2191

POSCAR file:
```
Rb2NaLiF6
1.0
0.0000 4.2996 4.2996
4.2996 0.0000 4.2996
4.2996 4.2996 0.0000
Rb Na Li F
2 1 1 6
Cartesian
2.1498 2.1498 2.1498
6.4494 6.4494 6.4494
0.0000 0.0000 0.0000
4.2996 4.2996 4.2996
4.2996 4.2996 2.2788
4.2996 2.2788 4.2996
6.3204 4.2996 4.2996
2.2788 4.2996 4.2996
4.2996 6.3204 4.2996
4.2996 4.2996 6.3204
```



Entry 3:
This record from Alexandria describes an optimized crystal structure of TaVPd. The functional is PBE-GGA.

Calculated values
Calculated formation energy in eV per atom: -0.2315
Spin magnetization in μB/f.u.: 0.0
Energy above the most stable polymorph in this dataset in meV/atom: 0.0

POSCAR file:
```
TaVPd
1.0
3.1736 0.0000 0.0000
0.0000 3.1736 0.0000
0.0000 0.0000 9.3723
Ta V Pd
2 2 2
Cartesian
0.7934 0.7934 2.3039
2.3802 2.3802 7.0684
0.7934 0.7934 8.6776
2.3802 2.3802 0.6948
0.7934 0.7934 5.5700
2.3802 2.3802 3.8023
```



Entry 4:
This record from Alexandria describes an optimized crystal structure of Ho5Rh2O12. The functional is PBE-GGA.

Calculated values
Spin magnetization in μB/f.u.: 3.1
Formation energy without anion corrections in meV/atom: -2625

POSCAR file:
```
Ho5Rh2O12
1.0
6.1491 -2.9548 0.0000
6.1491 2.9548 0.0000
-2.1473 0.0000 6.9221
Ho Rh O
5 2 12
Cartesian
0.0000 0.0000 0.0000
3.4119 0.0000 0.9656
2.3629 0.0000 4.6461
7.7881 0.0000 2.2761
6.7390 0.0000 5.9565
5.0755 1.4964 3.4611
5.0755 -1.4964 3.4611
-0.6784 0.0000 2.1876
10.8293 0.0000 4.7345
2.2859 1.4812 6.4137
3.2042 1.3881 2.8710
7.8650 1.4812 0.5084
6.9467 1.3881 4.0511
5.4835 0.0000 2.1351
4.6674 0.0000 4.7870
3.2042 -1.3881 2.8710
2.2859 -1.4812 6.4137
6.9467 -1.3881 4.0511
7.8650 -1.4812 0.5084
```



Entry 5:
This record from Alexandria describes an optimized crystal structure of CdO4. The functional is PBE-GGA.

Calculated values
Spin magnetization in μB/f.u.: 2.0
Formation energy without anion corrections in meV/atom: -154

POSCAR file:
```
CdO4
1.0
4.3627 0.0000 0.0000
0.4222 4.8412 0.0000
0.6683 2.1537 6.8247
Cd O
2 8
Cartesian
0.0000 0.0000 0.0000
2.4436 2.5161 2.6545
0.8015 2.8477 1.0418
2.3125 1.6684 4.9771
2.6118 4.9451 2.2409
2.6023 4.9055 0.8729
3.7792 5.8646 5.3904
4.0887 1.9811 1.1601
4.7354 3.5494 4.9141
4.6860 3.1009 3.6941
```



Entry 6:
This record from Alexandria describes an optimized crystal structure of TaFe2Ni. The functional is PBE-GGA.

Calculated values
Calculated formation energy in eV per atom: 0.1968
Spin magnetization in μB/f.u.: 4.9

POSCAR file:
```
TaFe2Ni
1.0
2.7497 0.0000 0.0000
-1.3748 2.3813 0.0000
0.0000 0.0000 24.7327
Ta Fe Ni
3 6 3
Cartesian
0.0000 0.0000 0.0000
0.0000 1.5875 16.4885
1.3748 0.7938 8.2442
0.0000 0.0000 12.3499
0.0000 0.0000 18.7387
0.0000 1.5875 4.1056
0.0000 1.5875 10.4945
1.3748 0.7938 2.2502
1.3748 0.7938 20.5941
0.0000 0.0000 6.0599
0.0000 1.5875 22.5484
1.3748 0.7938 14.3042
```



- Look up the spin magnetization of the first one.
  0.0 μB/f.u.